Entry 1:
VASP calculation (PBE) on a relaxed Sc4ZnIr3 crystal.

```
Sc4ZnIr3
1.0
4.405 0.000 -1.189
-0.316 4.399 -1.169
-0.381 -0.436 7.343
Ir Sc Zn
3 4 1
Direct
0.748 0.248 0.497
0.252 0.752 0.503
0.000 0.500 0.000
0.373 0.373 0.746
0.873 0.873 0.746
0.127 0.127 0.254
0.627 0.627 0.254
0.500 0.000 0.000
```

Properties
density of states at the Fermi level: 3.41 states/eV/f.u.
energy relative to the elements: -0.874 eV/atom

Entry 2:
VASP calculation (PBE) on a relaxed Cs4HgHAu2 crystal.

```
Cs4HgHAu2
1.0
10.260 0.045 0.131
0.037 10.260 0.131
-4.976 -4.979 7.157
Au Cs H Hg
4 8 2 2
Direct
0.500 0.000 0.000
0.500 0.000 0.500
0.000 0.000 0.500
0.500 0.500 0.000
0.287 0.750 0.519
0.744 0.757 0.989
0.256 0.243 0.011
0.257 0.244 0.489
0.713 0.250 0.481
0.250 0.787 0.019
0.743 0.756 0.511
0.750 0.213 0.981
0.500 0.500 0.500
0.000 0.000 0.000
0.000 0.500 0.500
0.000 0.500 0.000
```

Properties
density of states at the Fermi level: 3.66 states/eV/f.u.

Entry 3:
VASP calculation (PBE) on a relaxed NaCa2Er3Te6 crystal.

```
NaCa2Er3Te6
1.0
-2.239 3.653 0.844
-7.325 -4.858 1.589
5.558 -1.091 8.167
Er Te Na Ca
3 6 1 2
Direct
0.500 0.500 0.000
0.834 0.169 0.667
0.166 0.831 0.333
0.334 0.414 0.669
0.003 0.744 0.006
0.666 0.586 0.331
0.669 0.076 0.338
0.331 0.924 0.662
0.997 0.256 0.994
0.500 0.000 0.000
0.165 0.328 0.329
0.835 0.672 0.671
```

Properties
density of states at the Fermi level: 4.36 states/eV/f.u.

Entry 4:
VASP calculation (PBE) on a relaxed DyB4Ru crystal.

```
DyB4Ru
1.0
-1.566 -2.136 -2.381
1.352 -4.736 3.359
-10.020 1.108 5.597
Ru B Dy
4 16 4
Direct
0.000 0.859 0.093
0.000 0.141 0.907
0.000 0.359 0.407
0.000 0.641 0.593
0.500 0.864 0.530
0.500 0.888 0.953
0.500 0.364 0.970
0.500 0.136 0.470
0.500 0.636 0.030
0.500 0.788 0.686
0.500 0.024 0.192
0.500 0.976 0.808
0.500 0.212 0.314
0.500 0.612 0.453
0.500 0.112 0.047
0.500 0.712 0.186
0.500 0.388 0.547
0.500 0.524 0.308
0.500 0.288 0.814
0.500 0.476 0.692
0.000 0.872 0.350
0.000 0.128 0.650
0.000 0.372 0.150
0.000 0.628 0.850
```

Properties
density of states at the Fermi level: 1.08 states/eV/f.u.
energy relative to the elements: -0.634 eV/atom

Entry 5:
VASP calculation (PBE) on a relaxed AcNd2Au2 crystal.

```
AcNd2Au2
1.0
3.982 0.000 0.000
0.000 8.589 0.000
0.000 0.000 8.589
Au Ac Nd
4 2 4
Direct
0.500 0.873 0.127
0.500 0.627 0.627
0.500 0.373 0.373
0.500 0.127 0.873
0.500 0.500 0.000
0.500 0.000 0.500
0.000 0.161 0.161
0.000 0.661 0.339
0.000 0.339 0.661
0.000 0.839 0.839
```

Properties
energy above the most stable polymorph in this dataset: 0 meV per atom
density of states at the Fermi level: 5.49 states/eV/f.u.
energy relative to the elements: -0.609 eV/atom

Entry 6:
VASP calculation (PBE) on a relaxed YAlSe3 crystal.

```
YAlSe3
1.0
21.355 0.000 -0.279
0.000 7.791 0.000
-7.297 0.000 3.679
Y Se Al
4 12 4
Direct
0.460 0.263 0.310
0.960 0.237 0.810
0.540 0.737 0.690
0.040 0.763 0.190
0.330 0.915 0.990
0.625 0.559 0.612
0.477 0.231 0.996
0.023 0.731 0.504
0.875 0.059 0.888
0.670 0.085 0.010
0.830 0.585 0.490
0.523 0.769 0.004
0.125 0.941 0.112
0.977 0.269 0.496
0.170 0.415 0.510
0.375 0.441 0.388
0.361 0.960 0.767
0.861 0.540 0.267
0.139 0.460 0.733
0.639 0.040 0.233
```

Properties
energy above the most stable polymorph in this dataset: 50 meV per atom
density of states at the Fermi level: 0.00 states/eV/f.u.

Entry 7:
VASP calculation (PBE) on a relaxed VSbPd3 crystal.

```
VSbPd3
1.0
-3.848 0.774 2.915
1.962 -2.946 3.372
2.291 3.824 2.008
Pd Sb V
3 1 1
Direct
0.000 0.500 0.000
0.000 0.000 0.500
0.500 0.000 0.000
0.000 0.000 0.000
0.500 0.500 0.500
```

Properties
energy above the most stable polymorph in this dataset: 113 meV per atom
density of states at the Fermi level: 8.84 states/eV/f.u.

Entry 8:
VASP calculation (PBE) on a relaxed Al2Pb3Au7 crystal.

```
Al2Pb3Au7
1.0
5.525 0.000 1.729
2.492 4.931 1.729
0.100 0.061 9.372
Al Au Pb
2 7 3
Direct
0.667 0.667 0.000
0.333 0.333 0.000
0.925 0.423 0.230
0.500 0.500 0.500
0.423 0.925 0.230
0.577 0.577 0.770
0.075 0.577 0.770
0.423 0.423 0.230
0.577 0.075 0.770
0.145 0.145 0.564
0.000 0.000 0.000
0.855 0.855 0.436
```

Properties
density of states at the Fermi level: 3.43 states/eV/f.u.
energy relative to the elements: -0.178 eV/atom

| no. | energy (eV per cell) | mass density (Mg/m³) |
| --- | --- | --- |
| 1 | -60.172 | 9.9 |
| 2 | -30.207 | 4.9 |
| 3 | -54.506 | 6.2 |
| 4 | -177.579 | 8.3 |
| 5 | -46.486 | 10.3 |
| 6 | -109.050 | 3.9 |
| 7 | -25.469 | 7.0 |
| 8 | -43.690 | 13.4 |